First-principles (GGA-PBEsol) data for an optimized crystal structure of LiCaMg2, as listed in Alexandria.

The formation energy from the elements is -0.0166 eV/atom. The calculation puts the size of the total moment at 0.00 μB per formula unit. The value obtained for the total energy is -1.900 eV per atom. Its energy above the most stable polymorph in this dataset is 44 meV/atom.

The space group is I4/mmm (No. 139) and the conventional cell measures 4.718, 4.718 and 9.247 Å, with angles of 90.00, 90.00 and 90.00 degrees. Symmetry generates all atoms from Li at (0.000, 0.000, 0.000), Ca at (0.000, 0.000, 0.500) and Mg at (0.000, 0.500, 0.250).

First-principles (GGA-PBEsol) data for an optimized crystal structure of LiCaMg2, as listed in Alexandria.

The formation energy from the elements is -0.0608 eV/atom. The calculation puts the size of the total moment at 0.00 μB per formula unit. The value obtained for the total energy is -1.944 eV per atom. Its energy above the most stable polymorph in this dataset is 0 meV/atom.

The space group is P4/mmm (No. 123) and the conventional cell measures 3.565, 3.565 and 7.871 Å, with angles of 90.00, 90.00 and 90.00 degrees. Symmetry generates all atoms from Li at (0.000, 0.000, 0.000), Ca at (0.000, 0.000, 0.500) and Mg at (0.500, 0.500, 0.205).